Record 1
DFT (PBE-GGA) results for a geometry-optimized RbYTi2Os structure.

Computed properties:
Crystal system = tetragonal

Cell lengths 4.588, 4.588, 5.151 Å; angles 90.00, 90.00, 90.00 degrees
Space group P4/mmm (No. 123)
Inequivalent atoms, fractional coordinates:
1 Rb 0.000 0.000 0.000 [1 per cell]
2 Y 0.000 0.000 0.500 [1 per cell]
3 Ti 0.000 0.500 0.000 [2 per cell]
4 Os 0.500 0.500 0.500 [1 per cell]

Record 2
DFT (PBE-GGA) results for a geometry-optimized Rb2TlOs structure.

Computed properties:
Crystal system = tetragonal
Energy above the lowest structure with this stoichiometry = 0.0000 eV/atom

Cell lengths 4.359, 4.359, 24.515 Å; angles 90.00, 90.00, 90.00 degrees
Space group I-42d (No. 122)
Inequivalent atoms, fractional coordinates:
1 Rb 0.246 0.250 0.125 [8 per cell]
2 Tl 0.000 0.000 0.500 [4 per cell]
3 Os 0.000 0.000 0.000 [4 per cell]

Record 3
DFT (PBE-GGA) results for a geometry-optimized Rb2TlOs structure.

Computed properties:
Crystal system = cubic
Energy above the lowest structure with this stoichiometry = 0.0415 eV/atom

Cell lengths 8.306, 8.306, 8.306 Å; angles 90.00, 90.00, 90.00 degrees
Space group Fm-3m (No. 225)
Inequivalent atoms, fractional coordinates:
1 Rb 0.250 0.250 0.250 [8 per cell]
2 Tl 0.000 0.000 0.000 [4 per cell]
3 Os 0.000 0.000 0.500 [4 per cell]

Record 4
DFT (PBE-GGA) results for a geometry-optimized RbTl2Os structure.

Computed properties:
Crystal system = tetragonal
Energy above the lowest structure with this stoichiometry = 0.0000 eV/atom

Cell lengths 6.796, 6.796, 15.682 Å; angles 90.00, 90.00, 90.00 degrees
Space group I4_1/amd (No. 141, origin choice 2)
Inequivalent atoms, fractional coordinates:
1 Rb 0.000 0.250 0.375 [4 per cell]
2 Tl 0.000 0.000 0.000 [8 per cell]
3 Os 0.000 0.250 0.875 [4 per cell]

Record 5
DFT (PBE-GGA) results for a geometry-optimized RbTl2Os structure.

Computed properties:
Crystal system = cubic
Energy above the lowest structure with this stoichiometry = 0.3307 eV/atom

Cell lengths 7.446, 7.446, 7.446 Å; angles 90.00, 90.00, 90.00 degrees
Space group Fm-3m (No. 225)
Inequivalent atoms, fractional coordinates:
1 Rb 0.000 0.000 0.000 [4 per cell]
2 Tl 0.250 0.250 0.250 [8 per cell]
3 Os 0.000 0.000 0.500 [4 per cell]

Record 6
DFT (PBE-GGA) results for a geometry-optimized Rb2VOs structure.

Computed properties:
Crystal system = tetragonal
Energy above the lowest structure with this stoichiometry = 0.0000 eV/atom

Cell lengths 13.451, 13.451, 4.522 Å; angles 90.00, 90.00, 90.00 degrees
Space group I-42d (No. 122)
Inequivalent atoms, fractional coordinates:
1 Rb 0.066 0.250 0.125 [8 per cell]
2 V 0.000 0.000 0.000 [4 per cell]
3 Os 0.000 0.000 0.500 [4 per cell]

Record 7
DFT (PBE-GGA) results for a geometry-optimized RbVOs3 structure.

Computed properties:
Crystal system = cubic
Energy above the lowest structure with this stoichiometry = 2.0824 eV/atom

Cell lengths 4.693, 4.693, 4.693 Å; angles 90.00, 90.00, 90.00 degrees
Space group Pm-3m (No. 221)
Inequivalent atoms, fractional coordinates:
1 Rb 0.000 0.000 0.000 [1 per cell]
2 V 0.500 0.500 0.500 [1 per cell]
3 Os 0.000 0.000 0.500 [3 per cell]

Record 8
DFT (PBE-GGA) results for a geometry-optimized RbVOs3 structure.

Computed properties:
Crystal system = cubic
Energy above the lowest structure with this stoichiometry = 0.0000 eV/atom

Cell lengths 4.684, 4.684, 4.684 Å; angles 90.00, 90.00, 90.00 degrees
Space group Pm-3m (No. 221)
Inequivalent atoms, fractional coordinates:
1 Rb 0.000 0.000 0.000 [1 per cell]
2 V 0.500 0.500 0.500 [1 per cell]
3 Os 0.000 0.500 0.500 [3 per cell]

| no. | E_form (eV per atom) |
| --- | --- |
| 1 | 2.263 |
| 2 | 1.355 |
| 3 | 1.397 |
| 4 | 0.728 |
| 5 | 1.059 |
| 6 | 1.361 |
| 7 | 3.962 |
| 8 | 1.880 |